[1]
# NiTePb2

Crystalline NiTePb2 at its relaxed geometry (PBE-GGA, the Alexandria database).

## Properties
The calculation puts the density of states at the Fermi level at 2.39 states/eV per cell. As for the total energy: -16.0 eV per cell. Its magnetization is 0.0 μB/cell. As for the uncorrected formation energy: 90 meV/atom.

abc: 3.4457 3.4457 8.6594
angles: 90.00 90.00 90.00
Space group P4mm (No. 99)
Unique sites:
Ni: 0.0000 0.0000 0.0000
Te: 0.5000 0.5000 0.8803
Pb: 0.0000 0.0000 0.5558
Pb: 0.5000 0.5000 0.2544


[2]
# Ni4TePb

Crystalline Ni4TePb at its relaxed geometry (PBE-GGA, the Alexandria database).

## Properties
The calculation puts the density of states at the Fermi level at 24.50 states/eV per cell. As for the total energy: -114.0 eV per cell. Its magnetization is 6.9 μB/cell. As for the uncorrected formation energy: 245 meV/atom.

abc: 7.1760 7.1760 7.1760
angles: 90.00 90.00 90.00
Space group F-43m (No. 216)
Unique sites:
Ni: 0.1247 0.1247 0.1247
Te: 0.2500 0.2500 0.7500
Pb: 0.0000 0.0000 0.5000


[3]
# NiTePb2

Crystalline NiTePb2 at its relaxed geometry (PBE-GGA, the Alexandria database).

## Properties
The calculation puts the density of states at the Fermi level at 5.42 states/eV per cell. As for the total energy: -47.8 eV per cell. Its magnetization is 0.0 μB/cell. As for the uncorrected formation energy: 105 meV/atom.

abc: 4.1618 4.1618 21.1551
angles: 90.00 90.00 120.00
Space group R-3m (No. 166, hexagonal axes)
Unique sites:
Ni: 0.0000 0.0000 0.0000
Te: 0.0000 0.0000 0.5000
Pb: 0.0000 0.0000 0.2677


[4]
# NiTePb2

Crystalline NiTePb2 at its relaxed geometry (PBE-GGA, the Alexandria database).

## Properties
The calculation puts the density of states at the Fermi level at 5.72 states/eV per cell. As for the total energy: -32.1 eV per cell. Its magnetization is 0.0 μB/cell. As for the uncorrected formation energy: 67 meV/atom.

abc: 15.2657 3.4871 4.0854
angles: 90.00 105.37 90.00
Space group C2/m (No. 12)
Unique sites:
Ni: 0.0000 0.0000 0.0000
Te: 0.0000 0.5000 0.5000
Pb: 0.1709 0.5000 0.1704


[5]
# NiTe2Pb

Crystalline NiTe2Pb at its relaxed geometry (PBE-GGA, the Alexandria database).

## Properties
The calculation puts the density of states at the Fermi level at 4.07 states/eV per cell. As for the total energy: -32.5 eV per cell. Its magnetization is 0.0 μB/cell. As for the uncorrected formation energy: -114 meV/atom.

abc: 10.7568 3.8032 6.5925
angles: 90.00 117.19 90.00
Space group Cm (No. 8)
Unique sites:
Ni: 0.0000 0.0000 0.0000
Te: 0.0649 0.5000 0.2830
Te: 0.4003 0.0000 0.7153
Pb: 0.2297 0.5000 0.9888


[6]
# NiTe2Pb

Crystalline NiTe2Pb at its relaxed geometry (PBE-GGA, the Alexandria database).

## Properties
The calculation puts the density of states at the Fermi level at 1.68 states/eV per cell. As for the total energy: -15.6 eV per cell. Its magnetization is 0.0 μB/cell. As for the uncorrected formation energy: 52 meV/atom.

abc: 3.2860 3.2860 9.7113
angles: 90.00 90.00 90.00
Space group P4mm (No. 99)
Unique sites:
Ni: 0.0000 0.0000 0.0000
Te: 0.0000 0.0000 0.5199
Te: 0.5000 0.5000 0.8759
Pb: 0.5000 0.5000 0.2180


[7]
# NiTe2Pb

Crystalline NiTe2Pb at its relaxed geometry (PBE-GGA, the Alexandria database).

## Properties
The calculation puts the density of states at the Fermi level at 5.67 states/eV per cell. As for the total energy: -31.3 eV per cell. Its magnetization is 0.0 μB/cell. As for the uncorrected formation energy: 26 meV/atom.

abc: 3.5348 3.6575 16.0009
angles: 90.00 90.00 90.00
Space group Imm2 (No. 44)
Unique sites:
Ni: 0.0000 0.0000 0.0000
Te: 0.0000 0.0000 0.5613
Te: 0.0000 0.5000 0.3791
Pb: 0.0000 0.5000 0.7347


[8]
# NiTe2Pb

Crystalline NiTe2Pb at its relaxed geometry (PBE-GGA, the Alexandria database).

## Properties
The calculation puts the density of states at the Fermi level at 17.19 states/eV per cell. As for the total energy: -64.6 eV per cell. Its magnetization is 0.0 μB/cell. As for the uncorrected formation energy: -92 meV/atom.

abc: 6.4640 6.4640 12.4027
angles: 90.00 90.00 90.00
Space group I-42d (No. 122)
Unique sites:
Ni: 0.0000 0.0000 0.0000
Te: 0.1703 0.2500 0.1250
Pb: 0.0000 0.0000 0.5000


[9]
# NiTePb

Crystalline NiTePb at its relaxed geometry (PBE-GGA, the Alexandria database).

## Properties
The calculation puts the energy above the most stable polymorph in this dataset at 0 meV/atom. The calculation puts the density of states at the Fermi level at 1.65 states/eV per cell. As for the total energy: -13.0 eV per cell. Its magnetization is 0.0 μB/cell. As for the uncorrected formation energy: -132 meV/atom.

abc: 4.0180 4.0180 5.4173
angles: 90.00 90.00 120.00
Space group P3m1 (No. 156)
Unique sites:
Ni: 0.0000 0.0000 0.0000
Te: 0.3333 0.6667 0.8266
Pb: 0.6667 0.3333 0.2919


[10]
# NiTe2Pb

Crystalline NiTe2Pb at its relaxed geometry (PBE-GGA, the Alexandria database).

## Properties
The calculation puts the density of states at the Fermi level at 2.89 states/eV per cell. As for the total energy: -15.1 eV per cell. Its magnetization is 0.0 μB/cell. As for the uncorrected formation energy: 178 meV/atom.

abc: 3.4210 3.4210 8.4162
angles: 90.00 90.00 90.00
Space group P4/mmm (No. 123)
Unique sites:
Ni: 0.0000 0.0000 0.0000
Te: 0.5000 0.5000 0.1843
Pb: 0.0000 0.0000 0.5000


[11]
# NiTePb2

Crystalline NiTePb2 at its relaxed geometry (PBE-GGA, the Alexandria database).

## Properties
The calculation puts the density of states at the Fermi level at 4.37 states/eV per cell. As for the total energy: -30.2 eV per cell. Its magnetization is 0.0 μB/cell. As for the uncorrected formation energy: 305 meV/atom.

abc: 6.4497 8.2368 3.9381
angles: 90.00 90.00 90.00
Space group Cmmm (No. 65)
Unique sites:
Ni: 0.0000 0.0000 0.0000
Te: 0.0000 0.5000 0.0000
Pb: 0.2500 0.2500 0.5000


[12]
# Ni3TePb

Crystalline Ni3TePb at its relaxed geometry (PBE-GGA, the Alexandria database).

## Properties
The calculation puts the energy above the most stable polymorph in this dataset at 0 meV/atom. The calculation puts the density of states at the Fermi level at 1.45 states/eV per cell. As for the total energy: -21.8 eV per cell. Its magnetization is 0.0 μB/cell. As for the uncorrected formation energy: 471 meV/atom.

abc: 4.7030 4.7030 4.7030
angles: 90.00 90.00 90.00
Space group Pm-3m (No. 221)
Unique sites:
Ni: 0.0000 0.0000 0.5000
Te: 0.0000 0.0000 0.0000
Pb: 0.5000 0.5000 0.5000